A relaxed GeHS2N crystal, computed with PBE.

Computed properties:
Final energy in eV per atom: -3.84
DOS(E_F) in states/eV per atom: 0.257
Space-group type: No. 123

Cell lengths 5.0435, 5.0435, 2.5954 Å; angles 90.00, 90.00, 90.00 degrees
With the nearest neighbours (Å) after each atom.
Fractional coordinates of all 5 atoms:
1 H 0.0000 0.0000 0.0000  2 N 1.30
2 Ge 0.5000 0.5000 0.5000  2 Ge 2.60, 8 S 2.84
3 S 0.0000 0.5000 0.0000  2 H 2.52, 2 S 2.60
4 S 0.5000 0.0000 0.0000  2 H 2.52, 2 S 2.60
5 N 0.0000 0.0000 0.5000  2 H 1.30